Material: KNa2U3Se6
Method: DFT, PBE
State: optimized geometry

Summary:
- Crystal system: monoclinic
- Formation energy from raw total energies: -1188.0 meV per atom
- Final energy: -72.8 eV per cell

Cell lengths 9.7321, 9.7321, 8.8074 Å; angles 107.68, 107.68, 24.58 degrees
Positions (direct):
K  0.0000  0.0000  0.0000
Na  0.3313  0.3313  0.6650
Na  0.6687  0.6687  0.3350
U  0.0000  0.0000  0.5000
U  0.3336  0.3336  0.1702
U  0.6664  0.6664  0.8298
Se  0.1622  0.1622  0.5921
Se  0.1741  0.1741  0.0706
Se  0.4953  0.4953  0.2701
Se  0.5047  0.5047  0.7299
Se  0.8259  0.8259  0.9294
Se  0.8378  0.8378  0.4079

Material: CdSiSnHg
Method: DFT, PBE
State: optimized geometry

Summary:
- Crystal system: trigonal
- Formation energy from raw total energies: 283.0 meV per atom
- Final energy: -9.5 eV per cell

Cell lengths 4.4820, 4.4820, 5.7653 Å; angles 90.00, 90.00, 120.00 degrees
Positions (direct):
Cd  0.0000  0.0000  0.0000
Si  0.3333  0.6667  0.1834
Sn  0.3333  0.6667  0.6921
Hg  0.6667  0.3333  0.3956

Material: Ga3RhBr
Method: DFT, PBE
State: optimized geometry

Summary:
- Crystal system: cubic
- Formation energy from raw total energies: -459.9 meV per atom
- Final energy: -20.4 eV per cell

Cell lengths 4.8681, 4.8681, 4.8681 Å; angles 90.00, 90.00, 90.00 degrees
Positions (direct):
Ga  0.0000  0.0000  0.5000
Ga  0.0000  0.5000  0.0000
Ga  0.5000  0.0000  0.0000
Rh  0.0000  0.0000  0.0000
Br  0.5000  0.5000  0.5000

Material: LiAcNi2H6
Method: DFT, PBE
State: optimized geometry

Summary:
- Crystal system: trigonal
- Final energy: -40.2 eV per cell

Cell lengths 5.8790, 5.8790, 5.8790 Å; angles 45.75, 45.75, 45.75 degrees
Positions (direct):
Li  0.0000  0.0000  0.0000
Ac  0.5000  0.5000  0.5000
Ni  0.2955  0.2955  0.2955
Ni  0.7045  0.7045  0.7045
H  0.0778  0.0778  0.5853
H  0.0778  0.5853  0.0778
H  0.4147  0.9222  0.9222
H  0.5853  0.0778  0.0778
H  0.9222  0.4147  0.9222
H  0.9222  0.9222  0.4147

Material: Cs2KMoI6
Method: DFT, PBE
State: optimized geometry

Summary:
- Crystal system: cubic
- Formation energy from raw total energies: -962.2 meV per atom
- Final energy: -32.6 eV per cell

Cell lengths 8.7697, 8.7697, 8.7697 Å; angles 60.00, 60.00, 60.00 degrees
Positions (direct):
Cs  0.2500  0.2500  0.2500
Cs  0.7500  0.7500  0.7500
K  0.0000  0.0000  0.0000
Mo  0.5000  0.5000  0.5000
I  0.2728  0.2728  0.7272
I  0.2728  0.7272  0.2728
I  0.2728  0.7272  0.7272
I  0.7272  0.2728  0.2728
I  0.7272  0.2728  0.7272
I  0.7272  0.7272  0.2728

Material: CaCu2Au3
Method: DFT, PBE
State: optimized geometry

Summary:
- Crystal system: orthorhombic
- Final energy: -43.7 eV per cell
- Formation energy from the elements: -0.30 eV per atom

Cell lengths 6.8101, 6.8101, 5.1784 Å; angles 90.00, 90.00, 83.39 degrees
Positions (direct):
Ca  0.1996  0.8004  0.7500
Ca  0.8004  0.1996  0.2500
Cu  0.2720  0.2720  0.0000
Cu  0.2720  0.2720  0.5000
Cu  0.7280  0.7280  0.0000
Cu  0.7280  0.7280  0.5000
Au  0.0395  0.5830  0.2500
Au  0.4170  0.9605  0.2500
Au  0.4472  0.5528  0.2500
Au  0.5528  0.4472  0.7500
Au  0.5830  0.0395  0.7500
Au  0.9605  0.4170  0.7500

Material: BaTaIn2
Method: DFT, PBE
State: optimized geometry

Summary:
- Crystal system: cubic
- Final energy: -17.2 eV per cell
- Formation energy from the elements: 0.51 eV per atom

Cell lengths 5.3974, 5.3974, 5.3974 Å; angles 60.00, 60.00, 60.00 degrees
Positions (direct):
Ba  0.0000  0.0000  0.0000
Ta  0.5000  0.5000  0.5000
In  0.2500  0.2500  0.2500
In  0.7500  0.7500  0.7500

Material: LiTl2Os
Method: DFT, PBE
State: optimized geometry

Summary:
- Crystal system: orthorhombic
- Final energy: -15.9 eV per cell
- Formation energy from the elements: 0.50 eV per atom

Cell lengths 5.7472, 5.7472, 5.7472 Å; angles 145.74, 133.73, 58.82 degrees
Positions (direct):
Li  0.0000  0.0000  0.0000
Tl  0.4544  0.4544  0.0000
Tl  0.7221  0.2221  0.5000
Os  0.2177  0.7177  0.5000

Material: Ta3Pd3N
Method: DFT, PBE
State: optimized geometry

Summary:
- Crystal system: cubic
- Formation energy from raw total energies: -487.9 meV per atom
- Final energy: -251.5 eV per cell

Cell lengths 8.3968, 8.3968, 8.3968 Å; angles 60.00, 60.00, 60.00 degrees
Positions (direct):
Ta  0.0552  0.0552  0.6948
Ta  0.0552  0.6948  0.0552
Ta  0.0552  0.6948  0.6948
Ta  0.3052  0.3052  0.9448
Ta  0.3052  0.9448  0.3052
Ta  0.3052  0.9448  0.9448
Ta  0.6948  0.0552  0.0552
Ta  0.6948  0.0552  0.6948
Ta  0.6948  0.6948  0.0552
Ta  0.9448  0.3052  0.3052
Ta  0.9448  0.3052  0.9448
Ta  0.9448  0.9448  0.3052
Pd  0.0000  0.5000  0.5000
Pd  0.2856  0.2856  0.2856
Pd  0.2856  0.2856  0.6433
Pd  0.2856  0.6433  0.2856
Pd  0.3567  0.7144  0.7144
Pd  0.5000  0.0000  0.5000
Pd  0.5000  0.5000  0.0000
Pd  0.5000  0.5000  0.5000
Pd  0.6433  0.2856  0.2856
Pd  0.7144  0.3567  0.7144
Pd  0.7144  0.7144  0.3567
Pd  0.7144  0.7144  0.7144
N  0.0000  0.0000  0.0000
N  0.0000  0.0000  0.5000
N  0.0000  0.5000  0.0000
N  0.5000  0.0000  0.0000

Material: ScMnRe2
Method: DFT, PBE
State: optimized geometry

Summary:
- Crystal system: orthorhombic
- Final energy: -40.2 eV per cell
- Formation energy from the elements: 0.05 eV per atom

Cell lengths 5.1870, 5.1870, 5.1870 Å; angles 144.77, 129.12, 63.40 degrees
Positions (direct):
Sc  0.0000  0.0000  0.0000
Mn  0.7351  0.2351  0.5000
Re  0.2646  0.7646  0.5000
Re  0.4991  0.4991  0.0000

Material: YTl2SiPt
Method: DFT, PBE
State: optimized geometry

Summary:
- Crystal system: tetragonal
- Formation energy from raw total energies: 410.9 meV per atom
- Final energy: -20.6 eV per cell

Cell lengths 5.0288, 5.0288, 5.4519 Å; angles 90.00, 90.00, 90.00 degrees
Positions (direct):
Y  0.0000  0.0000  0.0000
Tl  0.0000  0.5000  0.5000
Tl  0.5000  0.0000  0.5000
Si  0.0000  0.0000  0.5000
Pt  0.5000  0.5000  0.0000

Material: Zr5AlSn
Method: DFT, PBE
State: optimized geometry

Summary:
- Crystal system: monoclinic
- Final energy: -102.1 eV per cell
- Formation energy from the elements: -0.08 eV per atom

Cell lengths 5.6814, 5.6814, 11.2519 Å; angles 95.54, 95.54, 62.41 degrees
Positions (direct):
Zr  0.1064  0.2282  0.5628
Zr  0.1873  0.3341  0.8327
Zr  0.1988  0.8012  0.7500
Zr  0.2282  0.1064  0.0628
Zr  0.3341  0.1873  0.3327
Zr  0.6659  0.8127  0.6673
Zr  0.7718  0.8936  0.9372
Zr  0.8012  0.1988  0.2500
Zr  0.8127  0.6659  0.1673
Zr  0.8936  0.7718  0.4372
Al  0.5000  0.5000  0.0000
Al  0.5000  0.5000  0.5000
Sn  0.3098  0.6902  0.2500
Sn  0.6902  0.3098  0.7500

Material: CsHgAsSe2
Method: DFT, PBE
State: optimized geometry

Summary:
- Crystal system: tetragonal
- Formation energy from raw total energies: -59.1 meV per atom
- Final energy: -13.1 eV per cell

Cell lengths 5.2062, 5.2062, 6.7969 Å; angles 90.00, 90.00, 90.00 degrees
Positions (direct):
Cs  0.0000  0.0000  0.0000
Hg  0.5000  0.5000  0.0000
As  0.0000  0.0000  0.5000
Se  0.0000  0.5000  0.5000
Se  0.5000  0.0000  0.5000

Material: ScCdSb2I
Method: DFT, PBE
State: optimized geometry

Summary:
- Crystal system: tetragonal
- Formation energy from raw total energies: 500.7 meV per atom
- Final energy: -14.5 eV per cell

Cell lengths 5.4224, 5.4224, 5.8838 Å; angles 90.00, 90.00, 90.00 degrees
Positions (direct):
Sc  0.0000  0.0000  0.0000
Cd  0.5000  0.5000  0.5000
Sb  0.0000  0.5000  0.5000
Sb  0.5000  0.0000  0.5000
I  0.5000  0.5000  0.0000

Material: SrCdSnAs2
Method: DFT, PBE
State: optimized geometry

Summary:
- Crystal system: monoclinic
- Final energy: -36.0 eV per cell
- Formation energy from the elements: -0.42 eV per atom

Cell lengths 6.5184, 6.5184, 11.2997 Å; angles 98.39, 98.39, 38.39 degrees
Positions (direct):
Sr  0.1620  0.1620  0.1448
Sr  0.8380  0.8380  0.8552
Cd  0.4445  0.4445  0.2486
Cd  0.5555  0.5555  0.7514
Sn  0.1238  0.1238  0.5200
Sn  0.8762  0.8762  0.4800
As  0.1351  0.1351  0.8675
As  0.3465  0.3465  0.6331
As  0.6535  0.6535  0.3669
As  0.8649  0.8649  0.1325

Material: LaGeIrPt2
Method: DFT, PBE
State: optimized geometry

Summary:
- Crystal system: tetragonal
- Final energy: -24.1 eV per cell
- Formation energy from the elements: 1.27 eV per atom

Cell lengths 5.2571, 5.2571, 4.9410 Å; angles 90.00, 90.00, 90.00 degrees
Positions (direct):
La  0.0000  0.0000  0.0000
Ge  0.5000  0.5000  0.5000
Ir  0.0000  0.0000  0.5000
Pt  0.0000  0.5000  0.0000
Pt  0.5000  0.0000  0.0000

Material: Ba2HgCl6
Method: DFT, PBE
State: optimized geometry

Summary:
- Crystal system: tetragonal
- Formation energy from raw total energies: -1809.4 meV per atom
- Final energy: -63.0 eV per cell

Cell lengths 6.8740, 6.8740, 13.7120 Å; angles 90.00, 90.00, 90.00 degrees
Positions (direct):
Ba  0.0000  0.0000  0.1650
Ba  0.0000  0.0000  0.8350
Ba  0.5000  0.5000  0.3350
Ba  0.5000  0.5000  0.6650
Hg  0.0000  0.0000  0.5000
Hg  0.5000  0.5000  0.0000
Cl  0.1840  0.1840  0.3502
Cl  0.1840  0.1840  0.6498
Cl  0.2165  0.2165  0.0000
Cl  0.2835  0.7165  0.5000
Cl  0.3160  0.6840  0.1498
Cl  0.3160  0.6840  0.8502
Cl  0.6840  0.3160  0.1498
Cl  0.6840  0.3160  0.8502
Cl  0.7165  0.2835  0.5000
Cl  0.7835  0.7835  0.0000
Cl  0.8160  0.8160  0.3502
Cl  0.8160  0.8160  0.6498

Material: CoAu2Se
Method: DFT, PBE
State: optimized geometry

Summary:
- Crystal system: orthorhombic
- Formation energy from raw total energies: 448.2 meV per atom
- Final energy: -15.4 eV per cell

Cell lengths 5.2628, 5.2628, 2.7785 Å; angles 90.00, 90.00, 116.60 degrees
Positions (direct):
Co  0.0000  0.0000  0.0000
Au  0.0000  0.5000  0.5000
Au  0.5000  0.0000  0.5000
Se  0.5000  0.5000  0.0000

Material: Cr2CoRe
Method: DFT, PBE
State: optimized geometry

Summary:
- Crystal system: trigonal
- Final energy: -37.7 eV per cell
- Formation energy from the elements: 0.28 eV per atom

Cell lengths 8.4855, 8.4855, 8.4855 Å; angles 17.87, 17.87, 17.87 degrees
Positions (direct):
Cr  0.0000  0.0000  0.0000
Cr  0.2519  0.2519  0.2519
Co  0.7438  0.7438  0.7438
Re  0.4977  0.4977  0.4977

Material: CaSeCl6
Method: DFT, PBE
State: optimized geometry

Summary:
- Crystal system: trigonal
- Formation energy from raw total energies: -1012.3 meV per atom
- Final energy: -24.7 eV per cell

Cell lengths 6.9991, 6.9991, 6.9991 Å; angles 55.32, 55.32, 55.32 degrees
Positions (direct):
Ca  0.0000  0.0000  0.0000
Se  0.5000  0.5000  0.5000
Cl  0.1079  0.7221  0.4347
Cl  0.2779  0.5653  0.8921
Cl  0.4347  0.1079  0.7221
Cl  0.5653  0.8921  0.2779
Cl  0.7221  0.4347  0.1079
Cl  0.8921  0.2779  0.5653